(1)
## AcSm4Co2 (PBE)

Data for a relaxed structure of AcSm4Co2.

Properties
SG	P2_1/m
total moment	0.0	μB per cell
DOS at the Fermi energy	9.49	states/eV/f.u.
calculated density	8.0	Mg/m³
energy of formation	-13	meV/atom

Cell: 6.984 6.762 9.031 Å, 90.00 112.36 90.00°
Fractional positions:
Ac1 0.235 0.250 0.201
Ac2 0.765 0.750 0.799
Sm1 0.021 0.250 0.781
Sm2 0.279 0.000 0.564
Sm3 0.279 0.500 0.564
Sm4 0.337 0.750 0.999
Sm5 0.663 0.250 0.001
Sm6 0.721 0.000 0.436
Sm7 0.721 0.500 0.436
Sm8 0.979 0.750 0.219
Co1 0.039 0.750 0.661
Co2 0.377 0.750 0.336
Co3 0.623 0.250 0.664
Co4 0.961 0.250 0.339



(2)
## Ac2SmCo2 (PBE)

Data for a relaxed structure of Ac2SmCo2.

Properties
SG	Immm
total moment	0.0	μB per cell
DOS at the Fermi energy	3.14	states/eV/f.u.
calculated density	8.4	Mg/m³
energy of formation	23	meV/atom

Cell: 4.264 5.700 11.764 Å, 90.00 90.00 90.00°
Fractional positions:
Ac1 0.000 0.000 0.176
Ac2 0.000 0.000 0.824
Ac3 0.500 0.500 0.324
Ac4 0.500 0.500 0.676
Sm1 0.000 0.000 0.500
Sm2 0.500 0.500 0.000
Co1 0.000 0.500 0.141
Co2 0.000 0.500 0.859
Co3 0.500 0.000 0.359
Co4 0.500 0.000 0.641